# MgCoN2F

Crystalline MgCoN2F at its relaxed geometry (PBE+U, Alexandria).

Cell: 4.094 4.094 3.727 Å, 90.00 90.00 90.00°
Atoms (fractional coordinates):
Mg  0.000  0.000  0.000
Co  0.500  0.500  0.500
N  0.000  0.500  0.000
N  0.500  0.000  0.000
F  0.000  0.000  0.500

Results
For the final energy, the calculation gives -4.41 eV per atom. The calculation puts the density of states at the Fermi level at 3.237 states/eV/cell. Its polymorph energy (0 for the lowest one) is 3.05 eV/f.u. For the mass density, the calculation gives 3.5 g cm⁻³.